# 1
TbNd2Y8: optimized geometry, PBE.

abc: 5.934 9.089 9.229
angles: 60.50 74.86 57.96
Atoms (fractional coordinates):
Nd 0.000 0.306 0.388
Nd 0.000 0.694 0.612
Y 0.166 0.902 0.770
Y 0.500 0.208 0.583
Y 0.834 0.328 0.770
Y 0.834 0.098 0.230
Tb 0.500 0.000 0.000
Y 0.703 0.577 0.000
Y 0.297 0.423 0.000
Y 0.166 0.672 0.230
Y 0.500 0.792 0.417

Values from the calculation:
- Size of the total moment: 0.00 μB per atom


# 2
Na2CuW: optimized geometry, PBE.

abc: 4.966 4.966 4.966
angles: 60.00 60.00 60.00
Last column: magnetic moment on the atom in μB.
Atoms (fractional coordinates):
Cu 0.000 0.000 0.000  0.08
Na 0.250 0.250 0.250  0.02
Na 0.750 0.750 0.750  0.02
W 0.500 0.500 0.500  3.13

Values from the calculation:
- Distance to the lowest polymorph of the same formula: 74 meV per atom
- Size of the total moment: 1.13 μB per atom


no.,energy of formation from the pure elements (eV per atom)
1,0.16
2,1.57